(1)
## TiPbSe2 (SCAN)

Data for a crystal of TiPbSe2 relaxed with PBEsol.

POSCAR file:
```
TiPbSe2
1.0
-1.665 -0.777 2.943
-2.328 -2.571 0.049
5.251 -7.033 3.159
Pb Se Ti
1 2 1
Direct
0.000 0.000 0.000
0.110 0.110 0.670
0.890 0.890 0.330
0.500 0.500 0.500
```

Summary:
Fermi-level density of states in states/eV/cell: 2.07
Calculated volume in Å³ per cell: 94.94
Space-group type: R-3m, No. 166
E_form (uncorrected) in kcal/mol of atoms: -21.84


(2)
## ZrTi2PbSe (SCAN)

Data for a crystal of ZrTi2PbSe relaxed with PBEsol.

POSCAR file:
```
ZrTi2PbSe
1.0
-1.823 3.427 3.302
-4.302 0.324 -2.712
-2.155 -3.982 2.943
Ti Pb Zr Se
2 1 1 1
Direct
0.500 0.000 0.000
0.000 0.500 0.000
0.000 0.000 0.000
0.000 0.000 0.500
0.500 0.500 0.500
```

Summary:
Fermi-level density of states in states/eV/cell: 4.28
Calculated volume in Å³ per cell: 140.24
Space-group type: P4/mmm, No. 123
E_form (uncorrected) in kcal/mol of atoms: 19.90


(3)
## Tl2PbSe (SCAN)

Data for a crystal of Tl2PbSe relaxed with PBEsol.

POSCAR file:
```
Tl2PbSe
1.0
5.339 0.000 0.000
2.670 4.624 0.000
2.670 1.541 4.360
Tl Pb Se
2 1 1
Direct
0.000 0.000 0.000
0.750 0.750 0.750
0.500 0.500 0.500
0.250 0.250 0.250
```

Summary:
Fermi-level density of states in states/eV/cell: 3.15
Calculated volume in Å³ per cell: 107.63
Space-group type: F-43m, No. 216
E_form (uncorrected) in kcal/mol of atoms: -0.30


(4)
## PbW2Se (SCAN)

Data for a crystal of PbW2Se relaxed with PBEsol.

POSCAR file:
```
PbW2Se
1.0
-1.835 2.280 -0.320
-1.038 -1.953 1.943
4.596 4.706 7.184
Pb W Se
1 2 1
Direct
0.000 0.000 0.526
0.000 0.000 0.992
0.500 0.500 0.785
0.500 0.500 0.198
```

Summary:
Fermi-level density of states in states/eV/cell: 2.52
Calculated volume in Å³ per cell: 78.58
Space-group type: Cmm2, No. 35
E_form (uncorrected) in kcal/mol of atoms: 12.77
Energy above the most stable polymorph in this dataset in meV per atom: 0


(5)
## Pb3WSe (SCAN)

Data for a crystal of Pb3WSe relaxed with PBEsol.

POSCAR file:
```
Pb3WSe
1.0
5.325 0.000 0.000
0.000 5.325 0.000
0.000 0.000 5.325
Pb Se W
3 1 1
Direct
0.000 0.500 0.000
0.000 0.000 0.500
0.500 0.000 0.000
0.500 0.500 0.500
0.000 0.000 0.000
```

Summary:
Fermi-level density of states in states/eV/cell: 2.78
Calculated volume in Å³ per cell: 151.01
Space-group type: Pm-3m, No. 221
E_form (uncorrected) in kcal/mol of atoms: 13.46


(6)
## PbWSe2 (SCAN)

Data for a crystal of PbWSe2 relaxed with PBEsol.

POSCAR file:
```
PbWSe2
1.0
4.796 0.000 0.000
2.398 4.153 0.000
2.398 1.384 3.916
Se W Pb
2 1 1
Direct
0.000 0.000 0.000
0.750 0.750 0.750
0.250 0.250 0.250
0.500 0.500 0.500
```

Summary:
Fermi-level density of states in states/eV/cell: 4.13
Calculated volume in Å³ per cell: 78.00
Space-group type: F-43m, No. 216
E_form (uncorrected) in kcal/mol of atoms: 28.18


(7)
## PbWSe2 (SCAN)

Data for a crystal of PbWSe2 relaxed with PBEsol.

POSCAR file:
```
PbWSe2
1.0
-2.116 -0.236 2.199
-1.893 -1.382 -1.969
3.433 -8.162 2.428
Pb Se W
1 2 1
Direct
0.500 0.500 0.715
0.500 0.500 0.314
0.000 0.000 0.007
0.000 0.000 0.463
```

Summary:
Fermi-level density of states in states/eV/cell: 2.43
Calculated volume in Å³ per cell: 86.04
Space-group type: P4mm, No. 99
E_form (uncorrected) in kcal/mol of atoms: 8.99


(8)
## PbW2Se (SCAN)

Data for a crystal of PbW2Se relaxed with PBEsol.

POSCAR file:
```
PbW2Se
1.0
-2.181 0.366 2.163
3.286 -2.554 1.533
2.051 5.446 1.146
Pb W Se
1 2 1
Direct
0.000 0.000 0.500
0.758 0.516 0.815
0.242 0.484 0.185
0.500 0.000 0.000
```

Summary:
Fermi-level density of states in states/eV/cell: 1.85
Calculated volume in Å³ per cell: 74.41
Space-group type: C2/m, No. 12
E_form (uncorrected) in kcal/mol of atoms: 20.61
Energy above the most stable polymorph in this dataset in meV per atom: 340


(9)
## PbWSe (SCAN)

Data for a crystal of PbWSe relaxed with PBEsol.

POSCAR file:
```
PbWSe
1.0
4.574 0.000 0.000
2.287 3.962 0.000
2.287 1.321 3.735
Se Pb W
1 1 1
Direct
0.500 0.500 0.500
0.000 0.000 0.000
0.250 0.250 0.250
```

Summary:
Fermi-level density of states in states/eV/cell: 2.57
Calculated volume in Å³ per cell: 67.69
Space-group type: F-43m, No. 216
E_form (uncorrected) in kcal/mol of atoms: 22.60


(10)
## PbW2Se (SCAN)

Data for a crystal of PbW2Se relaxed with PBEsol.

POSCAR file:
```
PbW2Se
1.0
-1.026 -2.490 1.465
2.494 1.497 1.082
-5.246 5.115 5.019
Pb W Se
1 2 1
Direct
0.500 0.000 0.500
0.000 0.000 0.225
0.000 0.000 0.775
0.500 0.000 0.000
```

Summary:
Fermi-level density of states in states/eV/cell: 3.25
Calculated volume in Å³ per cell: 73.46
Space-group type: Cmmm, No. 65
E_form (uncorrected) in kcal/mol of atoms: 28.45
Energy above the most stable polymorph in this dataset in meV per atom: 680


(11)
## PbW2Se (SCAN)

Data for a crystal of PbW2Se relaxed with PBEsol.

POSCAR file:
```
PbW2Se
1.0
3.188 0.000 0.000
-1.594 4.467 -0.008
0.000 -1.152 5.537
Pb Se W
1 1 2
Direct
0.508 0.017 0.530
0.728 0.456 0.142
0.273 0.546 0.808
0.991 0.982 0.020
```

Summary:
Fermi-level density of states in states/eV/cell: 1.35
Calculated volume in Å³ per cell: 78.81
Space-group type: Cm, No. 8
E_form (uncorrected) in kcal/mol of atoms: 15.64
Energy above the most stable polymorph in this dataset in meV per atom: 125


(12)
## YPbSe4 (SCAN)

Data for a crystal of YPbSe4 relaxed with PBEsol.

POSCAR file:
```
YPbSe4
1.0
5.765 0.000 0.000
2.882 4.993 0.000
2.882 1.664 4.707
Se Pb Y
4 1 1
Direct
0.376 0.376 0.376
0.376 0.376 0.872
0.376 0.872 0.376
0.872 0.376 0.376
0.000 0.000 0.000
0.750 0.750 0.750
```

Summary:
Fermi-level density of states in states/eV/cell: 6.22
Calculated volume in Å³ per cell: 135.48
Space-group type: F-43m, No. 216
E_form (uncorrected) in kcal/mol of atoms: 0.10


Among the records above, which one has the highest Fermi-level density of states?
YPbSe4


Number 6 is which compound?
PbWSe2


What is the calculated volume in the eleventh record?
78.81 Å³ per cell